Density functional theory data (PBE) for crystalline La2GeRh2 at its relaxed geometry.

Cell: 8.8253 8.8253 8.8253 Å, 155.14 155.14 35.45°
Positions (direct):
La (0.1166, 0.1166, 0.0000)
La (0.8834, 0.8834, 0.0000)
Ge (0.5000, 0.5000, 0.0000)
Rh (0.2500, 0.7500, 0.5000)
Rh (0.7500, 0.2500, 0.5000)

## Properties
ΔH_f (0 K) in eV/atom: -0.464
SG: I4/mmm, No. 139
Volume in Å³ per cell: 121.3
Total magnetization in μB/cell: 0.00